Record 1
Ca2TaNi | Alexandria via LeMat-Bulk | GGA-PBEsol | optimized geometry; SG = P2/m; calculated total energy = -5.019 eV per atom; ΔE_f = 725 meV per atom; ΔE to the lowest computed polymorph = 381 meV per atom
1.0
3.046 0.000 0.000
0.000 4.710 0.000
-1.010 0.000 5.676
Ca Ta Ni
2 1 1
Direct
0.072 0.000 0.262
0.928 0.000 0.738
0.500 0.500 0.000
0.500 0.500 0.500

=====

Record 2
Ca2TaNi | Alexandria via LeMat-Bulk | GGA-PBEsol | optimized geometry; SG = P4/mmm; calculated total energy = -4.975 eV per atom; ΔE_f = 769 meV per atom; ΔE to the lowest computed polymorph = 426 meV per atom
1.0
4.034 0.000 0.000
0.000 4.034 0.000
0.000 0.000 4.880
Ca Ta Ni
2 1 1
Direct
0.000 0.500 0.000
0.500 0.000 0.000
0.000 0.000 0.500
0.500 0.500 0.500

=====

Record 3
CaTaNi2 | Alexandria via LeMat-Bulk | GGA-PBEsol | optimized geometry; SG = P4mm; calculated total energy = -6.533 eV per atom; ΔE_f = 217 meV per atom; ΔE to the lowest computed polymorph = 29 meV per atom
1.0
3.161 0.000 0.000
0.000 3.161 0.000
0.000 0.000 6.808
Ca Ta Ni
1 1 2
Direct
0.000 0.000 0.000
0.500 0.500 0.625
0.000 0.000 0.454
0.500 0.500 0.276

=====

Record 4
Ca2TaNi | Alexandria via LeMat-Bulk | GGA-PBEsol | optimized geometry; SG = Immm; calculated total energy = -5.400 eV per atom; ΔE_f = 343 meV per atom; ΔE to the lowest computed polymorph = 0 meV per atom
1.0
3.190 0.000 0.000
0.000 3.771 0.000
0.000 0.000 16.834
Ca Ta Ni
4 2 2
Direct
0.000 0.000 0.154
0.000 0.000 0.846
0.500 0.500 0.346
0.500 0.500 0.654
0.000 0.500 0.000
0.500 0.000 0.500
0.000 0.500 0.500
0.500 0.000 0.000

=====

Record 5
CaTcNi2 | Alexandria via LeMat-Bulk | GGA-PBEsol | optimized geometry; SG = P4mm; calculated total energy = -6.112 eV per atom; ΔE_f = 317 meV per atom; ΔE to the lowest computed polymorph = 40 meV per atom
1.0
2.731 0.000 0.000
0.000 2.731 0.000
0.000 0.000 7.679
Ca Tc Ni
1 1 2
Direct
0.000 0.000 0.000
0.500 0.500 0.679
0.000 0.000 0.469
0.500 0.500 0.281

=====

Record 6
CaTc2Ni | Alexandria via LeMat-Bulk | GGA-PBEsol | optimized geometry; SG = R-3m; calculated total energy = -7.044 eV per atom; ΔE_f = 662 meV per atom; ΔE to the lowest computed polymorph = 390 meV per atom
1.0
2.712 0.000 0.000
-1.356 2.349 0.000
0.000 0.000 28.216
Ca Tc Ni
3 6 3
Direct
0.000 0.000 0.000
0.333 0.667 0.667
0.667 0.333 0.333
0.000 0.000 0.239
0.000 0.000 0.761
0.333 0.667 0.428
0.333 0.667 0.905
0.667 0.333 0.095
0.667 0.333 0.572
0.000 0.000 0.500
0.333 0.667 0.167
0.667 0.333 0.833